An optimized crystal structure of K5Au. Source: Alexandria, functional PBE.

Values from the calculation:
* E above lowest polymorph: 42 kJ/mol of formula units
* E_form: -0.2 eV/f.u.

Cell: 9.3360 9.3360 4.8686 Å, 90.00 90.00 120.00°
Last column: nearest neighbours and their distance in Å.
Element x y z (fractional)
K1 0.5836 0.2502 0.0000  2 Au 3.37
K2 0.0831 0.0000 0.0000  2 Au 3.37
K3 0.0000 0.3333 0.5000  6 K 4.32
K4 0.6667 0.6667 0.5000  6 K 4.32
K5 0.3333 0.7498 0.0000  2 Au 3.37
Au1 0.3333 0.0000 0.5000  6 K 3.37

An optimized crystal structure of Ac2AlGePd6. Source: Alexandria, functional PBE.

Values from the calculation:
* E_form: -7.7 eV/f.u.

Cell: 6.7204 6.8092 8.3825 Å, 51.24 52.19 83.10°
Last column: nearest neighbours and their distance in Å.
Element x y z (fractional)
Pd1 0.2526 0.2465 0.5005  1 Al 2.53, 1 Ge 2.53, 2 Pd 2.76-2.82
Pd2 0.2482 0.7520 0.8607  1 Ge 2.53, 1 Al 2.53, 4 Pd 2.76-2.82
Pd3 0.7536 0.7474 0.9995  1 Al 2.53, 1 Ge 2.53, 2 Pd 2.76-2.82
Pd4 0.2464 0.2526 0.0005  1 Al 2.53, 1 Ge 2.53, 2 Pd 2.76-2.82
Pd5 0.7518 0.2480 0.1393  1 Ge 2.53, 1 Al 2.53, 4 Pd 2.76-2.82
Pd6 0.7474 0.7535 0.4995  1 Al 2.53, 1 Ge 2.53, 2 Pd 2.76-2.82
Ge1 0.5000 0.5000 0.0000  6 Pd 2.53
Ac1 0.2502 0.7495 0.4682  11 Pd 3.18-3.56
Ac2 0.7498 0.2505 0.5318  11 Pd 3.18-3.56
Al1 0.0000 0.0000 0.0000  6 Pd 2.53

An optimized crystal structure of Hf2BiSb. Source: Alexandria, functional PBE.

Values from the calculation:
* formation energy (no corrections): -0.13 eV/atom

Cell: 4.1677 4.1677 7.2154 Å, 73.21 73.21 60.00°
Last column: nearest neighbours and their distance in Å.
Element x y z (fractional)
Sb1 0.0000 0.0000 0.0000  6 Hf 2.85
Hf1 0.7413 0.7413 0.7760  3 Sb 2.85, 3 Bi 3.05
Hf2 0.2587 0.2587 0.2240  3 Sb 2.85, 3 Bi 3.05
Bi1 0.5000 0.5000 0.5000  6 Hf 3.05

An optimized crystal structure of BaSc2Be. Source: Alexandria, functional PBE.

Values from the calculation:
* E_form: 1.4 eV/f.u.

Cell: 6.4288 6.4288 5.6160 Å, 64.11 64.11 30.53°
Last column: nearest neighbours and their distance in Å.
Element x y z (fractional)
Be1 0.2500 0.2500 0.2500  4 Sc 2.76
Sc1 0.9466 0.9466 0.0534  2 Be 2.76
Sc2 0.5534 0.5534 0.4466  2 Be 2.76
Ba1 0.7500 0.7500 0.7500  4 Be 3.28, 2 Ba 3.39, 4 Sc 3.55

An optimized crystal structure of U2CrB10. Source: Alexandria, functional PBE.

Values from the calculation:
* E_form: -4.6 eV/f.u.

Cell: 4.0928 5.5736 11.1209 Å, 90.00 90.00 90.00°
Last column: nearest neighbours and their distance in Å.
Element x y z (fractional)
B1 0.6984 0.2833 0.6162  4 B 1.62-1.75
B2 0.3016 0.7833 0.8838  4 B 1.62-1.75
B3 0.0000 0.3645 0.1975  5 B 1.62-1.76
B4 0.0000 0.1355 0.6975  5 B 1.62-1.76
B5 0.0000 0.8645 0.3025  5 B 1.62-1.76
B6 0.6984 0.7833 0.8838  4 B 1.62-1.75
B7 0.0000 0.1230 0.5394  4 B 1.63-1.76
B8 0.0000 0.4500 0.6900  4 B 1.62-1.75
B9 0.6984 0.7167 0.3838  4 B 1.62-1.75
B10 0.6984 0.2167 0.1162  4 B 1.62-1.75
B11 0.0000 0.6355 0.8025  5 B 1.62-1.76
B12 0.0000 0.5500 0.3100  4 B 1.62-1.75
B13 0.0000 0.0500 0.1900  4 B 1.62-1.75
B14 0.3016 0.2167 0.1162  4 B 1.62-1.75
B15 0.3016 0.7167 0.3838  4 B 1.62-1.75
B16 0.0000 0.8770 0.4606  4 B 1.63-1.76
B17 0.0000 0.3770 0.0394  4 B 1.63-1.76
B18 0.0000 0.9500 0.8100  4 B 1.62-1.75
B19 0.3016 0.2833 0.6162  4 B 1.62-1.75
B20 0.0000 0.6230 0.9606  4 B 1.63-1.76
U1 0.5000 0.2211 0.3705  20 B 2.83-3.02, 2 Cr 2.95
U2 0.5000 0.2789 0.8705  20 B 2.83-3.02, 2 Cr 2.95
U3 0.5000 0.7789 0.6295  20 B 2.83-3.02, 2 Cr 2.95
U4 0.5000 0.7211 0.1295  20 B 2.83-3.02, 2 Cr 2.95
Cr1 0.0000 0.0000 0.0000  8 B 2.13-2.16
Cr2 0.0000 0.5000 0.5000  8 B 2.13-2.16

An optimized crystal structure of ZrAg2Cl. Source: Alexandria, functional PBE.

Values from the calculation:
* E above lowest polymorph: 164 kJ/mol of formula units
* formation energy (no corrections): 0.02 eV/atom

Cell: 8.0160 8.0160 6.2593 Å, 50.18 50.18 90.00°
Last column: nearest neighbours and their distance in Å.
Element x y z (fractional)
Ag1 0.8750 0.8672 0.7500  2 Ag 2.66, 2 Cl 2.87, 2 Zr 2.95
Ag2 0.6172 0.1250 0.2500  2 Ag 2.66, 2 Cl 2.87, 2 Zr 2.95
Ag3 0.3750 0.3828 0.7500  2 Ag 2.66, 2 Cl 2.87, 2 Zr 2.95
Ag4 0.1328 0.6250 0.2500  2 Ag 2.66, 2 Cl 2.87, 2 Zr 2.95
Zr1 0.7500 0.2500 0.5000  2 Cl 2.66, 4 Ag 2.95
Zr2 0.0000 0.0000 0.0000  2 Cl 2.66, 4 Ag 2.95
Cl1 0.5000 0.5000 0.0000  2 Zr 2.66, 4 Ag 2.87
Cl2 0.2500 0.7500 0.5000  2 Zr 2.66, 4 Ag 2.87

An optimized crystal structure of LiAlPb2. Source: Alexandria, functional PBE.

Values from the calculation:
* E_form: 0.0 eV/f.u.

Cell: 5.3935 5.3935 3.4449 Å, 86.93 86.93 102.02°
Last column: nearest neighbours and their distance in Å.
Element x y z (fractional)
Li1 0.0000 0.5000 0.5000  8 Pb 3.12-3.28, 2 Al 3.39, 2 Li 3.44
Pb1 0.0000 0.0000 0.0000  4 Li 3.12-3.28, 4 Al 3.12-3.28, 4 Pb 3.39-3.44
Pb2 0.5000 0.5000 0.0000  4 Al 3.12-3.28, 4 Li 3.12-3.28, 4 Pb 3.39-3.44
Al1 0.5000 0.0000 0.5000  8 Pb 3.12-3.28, 2 Li 3.39, 2 Al 3.44

An optimized crystal structure of ThAlPt. Source: Alexandria, functional PBE.

Values from the calculation:
* E_form: -2.8 eV/f.u.

Cell: 4.2798 4.2798 8.0467 Å, 105.42 105.42 90.00°
Last column: nearest neighbours and their distance in Å.
Element x y z (fractional)
Al1 0.2492 0.7492 0.4984  3 Pt 2.47-2.50
Al2 0.9992 0.9992 0.9984  3 Pt 2.47-2.50
Th1 0.4191 0.4191 0.8382  6 Pt 3.23-3.30, 6 Al 3.25-3.32
Th2 0.6691 0.1691 0.3382  6 Pt 3.23-3.30, 6 Al 3.25-3.32
Pt1 0.8317 0.8317 0.6633  3 Al 2.47-2.50
Pt2 0.0817 0.5817 0.1633  3 Al 2.47-2.50